The following is a DFT calculation (PBE) of a relaxed structure of HoBiRuRh.

Cell and atoms, written as POSCAR:
```
HoBiRuRh
1.0
0.000 3.369 3.369
3.369 0.000 3.369
3.369 3.369 0.000
Ho Bi Ru Rh
1 1 1 1
Direct
0.000 0.000 0.000
0.500 0.500 0.500
0.250 0.250 0.250
0.750 0.750 0.750
```

Output
Total DFT energy (no corrections)   -6.603 eV/atom
Energy of formation from the pure elements   -0.331 eV per atom